A plane-wave DFT calculation with PBE was carried out for a relaxed structure of BeNbBiPt.

```
BeNbBiPt
1.0
-0.7534 2.9083 -0.3783
-4.3064 -1.3523 -1.8265
0.2024 -0.8373 5.2695
Bi Be Pt Nb
1 1 1 1
Direct
0.8063 0.3353 0.5964
0.2716 0.8289 0.5229
0.5934 0.5883 0.1668
0.0105 0.0023 0.0041
```

Computed properties:
The value obtained for the volume is 70.0 Å³ per cell. The value obtained for the polymorph energy (0 for the lowest one) is 0.132 eV/atom. The calculation puts the formation energy at 42 meV per atom. The total magnetization comes out at 0.00 μB per formula unit. The space-group type is P1.

A plane-wave DFT calculation with PBE was carried out for a relaxed structure of BeNbBiPt.

```
BeNbBiPt
1.0
3.7162 0.0000 0.0000
-1.8581 3.2183 0.0000
0.0000 0.0000 18.2566
Nb Be Pt Bi
3 3 3 3
Direct
0.3333 0.6667 0.7240
0.0000 0.0000 0.0573
0.6667 0.3333 0.3907
0.0000 0.0000 0.6516
0.6667 0.3333 0.9849
0.3333 0.6667 0.3183
0.6667 0.3333 0.6123
0.3333 0.6667 0.9457
0.0000 0.0000 0.2790
0.6667 0.3333 0.8336
0.0000 0.0000 0.5003
0.3333 0.6667 0.1670
```

Computed properties:
The value obtained for the volume is 218.3 Å³ per cell. The value obtained for the polymorph energy (0 for the lowest one) is 0.000 eV/atom. The calculation puts the formation energy at -90 meV per atom. The total magnetization comes out at 0.00 μB per formula unit. The space-group type is R3m.

A plane-wave DFT calculation with PBE was carried out for a relaxed structure of BeNbBi2S.

```
BeNbBi2S
1.0
5.5535 0.0000 0.0000
0.0000 3.7130 0.0000
0.0000 0.0000 5.5535
Be Bi Nb S
1 2 1 1
Direct
0.0000 0.0000 0.0000
0.0000 0.0000 0.5000
0.5000 0.0000 0.0000
0.5000 0.5000 0.5000
0.0000 0.5000 0.0000
```

Computed properties:
The value obtained for the volume is 114.5 Å³ per cell. The value obtained for the formation energy from raw total energies is 3.1 eV per formula unit. The total magnetization comes out at 2.29 μB per formula unit. The space-group type is P4/mmm.

A plane-wave DFT calculation with PBE was carried out for a relaxed structure of SrBeNb2Bi.

```
SrBeNb2Bi
1.0
-2.0388 -4.1086 -2.6511
5.0785 -0.4677 -3.1807
1.9680 -3.3189 3.6301
Nb Be Sr Bi
2 1 1 1
Direct
0.5000 0.0000 0.0000
0.0000 0.0000 0.5000
0.5000 0.5000 0.5000
0.0000 0.5000 0.0000
0.0000 0.0000 0.0000
```

Computed properties:
The value obtained for the volume is 168.7 Å³ per cell. The calculation puts the formation energy at 1754 meV per atom. The total magnetization comes out at 2.14 μB per formula unit. The space-group type is P4/mmm.

A plane-wave DFT calculation with PBE was carried out for a relaxed structure of BeNiBi3.

```
BeNiBi3
1.0
5.1396 0.0000 0.0000
0.0000 5.1396 0.0000
0.0000 0.0000 5.1396
Bi Ni Be
3 1 1
Direct
0.0000 0.0000 0.5000
0.0000 0.5000 0.0000
0.5000 0.0000 0.0000
0.0000 0.0000 0.0000
0.5000 0.5000 0.5000
```

Computed properties:
The value obtained for the volume is 135.8 Å³ per cell. The value obtained for the polymorph energy (0 for the lowest one) is 0.000 eV/atom. The calculation puts the formation energy at 758 meV per atom. The total magnetization comes out at 0.00 μB per formula unit. The space-group type is Pm-3m.

A plane-wave DFT calculation with PBE was carried out for a relaxed structure of BeNiBi3.

```
BeNiBi3
1.0
5.0153 0.0000 0.0000
0.0000 5.0153 0.0000
0.0000 0.0000 5.0153
Bi Ni Be
3 1 1
Direct
0.0000 0.0000 0.5000
0.5000 0.0000 0.0000
0.0000 0.5000 0.0000
0.5000 0.5000 0.5000
0.0000 0.0000 0.0000
```

Computed properties:
The value obtained for the volume is 126.2 Å³ per cell. The value obtained for the polymorph energy (0 for the lowest one) is 0.059 eV/atom. The calculation puts the formation energy at 817 meV per atom. The total magnetization comes out at 0.00 μB per formula unit. The space-group type is Pm-3m.

A plane-wave DFT calculation with PBE was carried out for a relaxed structure of Be2NiBi.

```
Be2NiBi
1.0
-0.5508 -3.0372 -2.6516
-0.9704 -2.4977 3.0625
-8.1250 -0.7974 -0.5213
Be Ni Bi
4 2 2
Direct
0.8750 0.6660 0.7500
0.4160 0.1250 0.2500
0.3750 0.5840 0.7500
0.3340 0.6250 0.2500
0.5000 0.5000 0.0000
0.2500 0.7500 0.5000
0.0000 0.0000 0.0000
0.7500 0.2500 0.5000
```

Computed properties:
The value obtained for the volume is 126.8 Å³ per cell. The calculation puts the formation energy at 363 meV per atom. The total magnetization comes out at 0.00 μB per formula unit. The space-group type is I-42d.

A plane-wave DFT calculation with PBE was carried out for a relaxed structure of Be2Ni2Bi.

```
Be2Ni2Bi
1.0
6.6993 0.0000 0.0000
0.0000 6.6993 0.0000
0.0000 0.0000 2.9986
Ni Be Bi
4 4 2
Direct
0.6367 0.1367 0.0000
0.8633 0.6367 0.0000
0.1367 0.3633 0.0000
0.3633 0.8633 0.0000
0.8771 0.3771 0.5000
0.6229 0.8771 0.5000
0.1229 0.6229 0.5000
0.3771 0.1229 0.5000
0.5000 0.5000 0.0000
0.0000 0.0000 0.0000
```

Computed properties:
The value obtained for the volume is 134.6 Å³ per cell. The value obtained for the polymorph energy (0 for the lowest one) is 0.078 eV/atom. The calculation puts the formation energy at 170 meV per atom. The total magnetization comes out at 0.00 μB per formula unit. The space-group type is P4/mbm.

A plane-wave DFT calculation with PBE was carried out for a relaxed structure of Be2Ni2Bi.

```
Be2Ni2Bi
1.0
-1.0930 -2.7620 1.5584
0.9217 -1.8539 -2.6392
5.3119 -3.0760 1.8841
Ni Be Bi
2 2 1
Direct
0.3791 0.3791 0.2419
0.6209 0.6209 0.7581
0.7500 0.2500 0.5000
0.2500 0.7500 0.5000
0.0000 0.0000 0.0000
```

Computed properties:
The value obtained for the volume is 67.1 Å³ per cell. The value obtained for the polymorph energy (0 for the lowest one) is 0.000 eV/atom. The calculation puts the formation energy at 92 meV per atom. The total magnetization comes out at 0.00 μB per formula unit. The space-group type is I4/mmm.

A plane-wave DFT calculation with PBE was carried out for a relaxed structure of BeNiBi2.

```
BeNiBi2
1.0
6.0303 0.0000 0.0000
0.0000 6.0303 0.0000
3.0151 3.0151 5.5662
Bi Be Ni
4 2 2
Direct
0.3750 0.3796 0.7500
0.6204 0.1250 0.2500
0.8750 0.8704 0.7500
0.1296 0.6250 0.2500
0.2500 0.7500 0.5000
0.5000 0.5000 0.0000
0.0000 0.0000 0.0000
0.7500 0.2500 0.5000
```

Computed properties:
The value obtained for the volume is 202.4 Å³ per cell. The calculation puts the formation energy at 496 meV per atom. The total magnetization comes out at 0.00 μB per formula unit. The space-group type is I-42d.

Question: Which formula does entry 2 have?
Answer: BeNbBiPt